## BaNd2 (PBE)

Data for BaNd2 after structural relaxation.

Properties
**Volume**: 626.4 Å³ per cell
**ΔE to the lowest computed polymorph**: 200.7 kJ per mole of atoms
**VASP energy**: -1.482 eV/atom

Cell and atoms, written as extended XYZ:
```
6
Lattice="4.802 2.772 7.842 -4.802 2.772 7.842 0.000 -5.545 7.842" Properties=species:S:1:pos:R:3 pbc="T T T"
Ba 0.000 0.000 5.881
Ba 0.000 0.000 11.763
Nd 0.000 0.000 8.822
Nd -2.401 1.386 12.743
Nd 2.401 1.386 12.743
Nd 0.000 -2.772 12.743
```



## Cd2PtPb (PBE)

Data for Cd2PtPb after structural relaxation.

Properties
**Volume**: 86.2 Å³ per cell
**VASP energy**: -2.859 eV/atom

Cell and atoms, written as extended XYZ:
```
4
Lattice="-2.522 -2.938 3.097 -4.089 -2.326 -1.568 0.042 -4.914 -0.659" Properties=species:S:1:pos:R:3 pbc="T T T"
Cd 0.000 0.000 0.000
Cd -4.927 -7.634 0.653
Pb -3.285 -5.089 0.435
Pt -1.642 -2.545 0.218
```



- Look up the VASP energy of the second one.
  -2.859 eV/atom



What did the second record say?
## Cd2PtPb (PBE)

Data for Cd2PtPb after structural relaxation.

Properties
**Volume**: 86.2 Å³ per cell
**VASP energy**: -2.859 eV/atom

Cell and atoms, written as extended XYZ:
```
4
Lattice="-2.522 -2.938 3.097 -4.089 -2.326 -1.568 0.042 -4.914 -0.659" Properties=species:S:1:pos:R:3 pbc="T T T"
Cd 0.000 0.000 0.000
Cd -4.927 -7.634 0.653
Pb -3.285 -5.089 0.435
Pt -1.642 -2.545 0.218
```



- volume of number 2 (Cd2PtPb)?
  86.2 Å³ per cell